Entry 1:
## K2PAu (PBE-GGA)

Data for a relaxed structure of K2PAu.

```
data_K2PAu
_symmetry_space_group_name_H-M 'P 4 m m'
_symmetry_Int_Tables_number 99
_cell_length_a 4.7577
_cell_length_b 4.7577
_cell_length_c 6.8387
_cell_angle_alpha 90.00
_cell_angle_beta 90.00
_cell_angle_gamma 90.00
loop_
_symmetry_equiv_pos_as_xyz
'x,y,z'
'-y,x,z'
'-x,-y,z'
'y,-x,z'
'-x,y,z'
'y,x,z'
'x,-y,z'
'-y,-x,z'
loop_
_atom_site_label
_atom_site_type_symbol
_atom_site_fract_x
_atom_site_fract_y
_atom_site_fract_z
K1 K 0.0000 0.0000 0.0000
K2 K 0.5000 0.5000 0.4989
P1 P 0.0000 0.0000 0.5005
Au1 Au 0.5000 0.5000 0.9991
```

**Magnetic moment**: 2.0 μB per formula unit
**Uncorrected energy**: -2.518 eV/atom
**E_form**: 0.20 eV/atom

---

Entry 2:
## CsFeNiN2 (PBE-GGA)

Data for a relaxed structure of CsFeNiN2.

```
data_CsFeNiN2
_symmetry_space_group_name_H-M 'P 4/m m m'
_symmetry_Int_Tables_number 123
_symmetry_space_group_name_Hall '-P 4 2'
_cell_length_a 4.3245
_cell_length_b 4.3245
_cell_length_c 4.8937
_cell_angle_alpha 90.00
_cell_angle_beta 90.00
_cell_angle_gamma 90.00
loop_
_atom_site_label
_atom_site_type_symbol
_atom_site_fract_x
_atom_site_fract_y
_atom_site_fract_z
Cs1 Cs 0.0000 0.0000 0.0000
Fe1 Fe 0.5000 0.5000 0.5000
Ni1 Ni 0.0000 0.0000 0.5000
N1 N 0.0000 0.5000 0.0000
```

**Magnetic moment**: 4.3 μB per formula unit
**Uncorrected energy**: -3.322 eV/atom

---

Entry 3:
## NdTh2Bi3 (PBE-GGA)

Data for a relaxed structure of NdTh2Bi3.

```
data_NdTh2Bi3
_symmetry_space_group_name_H-M 'C 1 2/m 1'
_symmetry_Int_Tables_number 12
_cell_length_a 17.5051
_cell_length_b 4.5944
_cell_length_c 11.1339
_cell_angle_alpha 90.00
_cell_angle_beta 107.42
_cell_angle_gamma 90.00
loop_
_symmetry_equiv_pos_as_xyz
'x,y,z'
'-x,-y,-z'
'-x,y,-z'
'x,-y,z'
'x+1/2,y+1/2,z'
'-x+1/2,-y+1/2,-z'
'-x+1/2,y+1/2,-z'
'x+1/2,-y+1/2,z'
loop_
_atom_site_label
_atom_site_type_symbol
_atom_site_fract_x
_atom_site_fract_y
_atom_site_fract_z
Nd1 Nd 0.0000 0.0000 0.0000
Nd2 Nd 0.0000 0.5000 0.5000
Th1 Th 0.1661 0.0000 0.8311
Th2 Th 0.1664 0.5000 0.3315
Bi1 Bi 0.0281 0.5000 0.8054
Bi2 Bi 0.1396 0.0000 0.5267
Bi3 Bi 0.1947 0.0000 0.1379
```

**Magnetic moment**: 0.0 μB per formula unit
**Uncorrected energy**: -5.831 eV/atom
**E_form**: -0.62 eV/atom

---

Entry 4:
## Ac5La4Pr4 (PBE-GGA)

Data for a relaxed structure of Ac5La4Pr4.

```
data_Ac5La4Pr4
_symmetry_space_group_name_H-M 'I 4/m'
_symmetry_Int_Tables_number 87
_symmetry_space_group_name_Hall '-I 4'
_cell_length_a 13.8498
_cell_length_b 13.8498
_cell_length_c 5.3950
_cell_angle_alpha 90.00
_cell_angle_beta 90.00
_cell_angle_gamma 90.00
loop_
_atom_site_label
_atom_site_type_symbol
_atom_site_fract_x
_atom_site_fract_y
_atom_site_fract_z
Ac1 Ac 0.0000 0.0000 0.0000
Ac2 Ac 0.0365 0.8018 0.5000
La1 La 0.1570 0.2332 0.0000
Pr1 Pr 0.0737 0.6128 0.0000
```

**Magnetic moment**: 0.0 μB per formula unit
**Uncorrected energy**: -4.541 eV/atom
**E_form**: 0.03 eV/atom

---

Entry 5:
## NaLiMgBi (PBE-GGA)

Data for a relaxed structure of NaLiMgBi.

```
data_NaLiMgBi
_symmetry_space_group_name_H-M 'F -4 3 m'
_symmetry_Int_Tables_number 216
_symmetry_space_group_name_Hall 'F -4 2 3'
_cell_length_a 7.3888
_cell_length_b 7.3888
_cell_length_c 7.3888
_cell_angle_alpha 90.00
_cell_angle_beta 90.00
_cell_angle_gamma 90.00
loop_
_atom_site_label
_atom_site_type_symbol
_atom_site_fract_x
_atom_site_fract_y
_atom_site_fract_z
Na1 Na 0.0000 0.0000 0.0000
Li1 Li 0.2500 0.2500 0.2500
Mg1 Mg 0.2500 0.2500 0.7500
Bi1 Bi 0.0000 0.0000 0.5000
```

**Magnetic moment**: 0.0 μB per formula unit
**Uncorrected energy**: -2.397 eV/atom
**E_form**: -0.22 eV/atom

---

Entry 6:
## CoCu4Hg (PBE-GGA)

Data for a relaxed structure of CoCu4Hg.

```
data_CoCu4Hg
_symmetry_space_group_name_H-M 'F -4 3 m'
_symmetry_Int_Tables_number 216
_symmetry_space_group_name_Hall 'F -4 2 3'
_cell_length_a 6.8795
_cell_length_b 6.8795
_cell_length_c 6.8795
_cell_angle_alpha 90.00
_cell_angle_beta 90.00
_cell_angle_gamma 90.00
loop_
_atom_site_label
_atom_site_type_symbol
_atom_site_fract_x
_atom_site_fract_y
_atom_site_fract_z
Co1 Co 0.0000 0.0000 0.0000
Cu1 Cu 0.1256 0.1256 0.3744
Hg1 Hg 0.2500 0.2500 0.7500
```

**Magnetic moment**: 1.4 μB per formula unit
**Uncorrected energy**: -3.684 eV/atom
**E_form**: 0.28 eV/atom

---

Entry 7:
## Pr3Tl2Cu (PBE-GGA)

Data for a relaxed structure of Pr3Tl2Cu.

```
data_Pr3Tl2Cu
_symmetry_space_group_name_H-M 'C 1 2/c 1'
_symmetry_Int_Tables_number 15
_cell_length_a 15.8307
_cell_length_b 6.6087
_cell_length_c 6.6757
_cell_angle_alpha 90.00
_cell_angle_beta 102.79
_cell_angle_gamma 90.00
loop_
_symmetry_equiv_pos_as_xyz
'x,y,z'
'-x,-y,-z'
'-x,y,-z+1/2'
'x,-y,z+1/2'
'x+1/2,y+1/2,z'
'-x+1/2,-y+1/2,-z'
'-x+1/2,y+1/2,-z+1/2'
'x+1/2,-y+1/2,z+1/2'
loop_
_atom_site_label
_atom_site_type_symbol
_atom_site_fract_x
_atom_site_fract_y
_atom_site_fract_z
Pr1 Pr 0.0000 0.1314 0.2500
Pr2 Pr 0.1556 0.3975 0.5891
Tl1 Tl 0.1684 0.1116 0.0476
Cu1 Cu 0.0000 0.3505 0.7500
```

**Magnetic moment**: 0.0 μB per formula unit
**Uncorrected energy**: -4.068 eV/atom
**E_form**: -0.21 eV/atom

---

Entry 8:
## Nd3Dy3PuTe8 (PBE-GGA)

Data for a relaxed structure of Nd3Dy3PuTe8.

```
data_Nd3Dy3PuTe8
_symmetry_space_group_name_H-M 'R -3 m'
_symmetry_Int_Tables_number 166
_symmetry_space_group_name_Hall '-R 3 2"'
_cell_length_a 8.8117
_cell_length_b 8.8117
_cell_length_c 21.7239
_cell_angle_alpha 90.00
_cell_angle_beta 90.00
_cell_angle_gamma 120.00
loop_
_atom_site_label
_atom_site_type_symbol
_atom_site_fract_x
_atom_site_fract_y
_atom_site_fract_z
Nd1 Nd 0.0000 0.5000 0.0000
Dy1 Dy 0.0000 0.5000 0.5000
Pu1 Pu 0.0000 0.0000 0.5000
Te1 Te 0.0000 0.0000 0.2462
Te2 Te 0.0127 0.5063 0.7507
```

**Magnetic moment**: 6.2 μB per formula unit
**Uncorrected energy**: -5.866 eV/atom

---

Entry 9:
## Ba2GaSbSe5 (PBE-GGA)

Data for a relaxed structure of Ba2GaSbSe5.

```
data_Ba2GaSbSe5
_symmetry_space_group_name_H-M 'C m c 21'
_symmetry_Int_Tables_number 36
_cell_length_a 4.2572
_cell_length_b 19.1916
_cell_length_c 13.4210
_cell_angle_alpha 90.00
_cell_angle_beta 90.00
_cell_angle_gamma 90.00
loop_
_symmetry_equiv_pos_as_xyz
'x,y,z'
'-x,-y,z+1/2'
'-x,y,z'
'x,-y,z+1/2'
'x+1/2,y+1/2,z'
'-x+1/2,-y+1/2,z+1/2'
'-x+1/2,y+1/2,z'
'x+1/2,-y+1/2,z+1/2'
loop_
_atom_site_label
_atom_site_type_symbol
_atom_site_fract_x
_atom_site_fract_y
_atom_site_fract_z
Ba1 Ba 0.0000 0.1160 0.0000
Ba2 Ba 0.0000 0.1270 0.6344
Ga1 Ga 0.0000 0.4407 0.7449
Sb1 Sb 0.0000 0.2085 0.3416
Se1 Se 0.0000 0.0389 0.3452
Se2 Se 0.0000 0.2880 0.9840
Se3 Se 0.0000 0.3169 0.6886
Se4 Se 0.0000 0.3472 0.3190
Se5 Se 0.0000 0.4982 0.0884
```

**Magnetic moment**: 0.0 μB per formula unit
**Uncorrected energy**: -4.348 eV/atom

---

Entry 10:
## La2BeHg (PBE-GGA)

Data for a relaxed structure of La2BeHg.

```
data_La2BeHg
_symmetry_space_group_name_H-M 'R -3 m'
_symmetry_Int_Tables_number 166
_symmetry_space_group_name_Hall '-R 3 2"'
_cell_length_a 3.8026
_cell_length_b 3.8026
_cell_length_c 27.6222
_cell_angle_alpha 90.00
_cell_angle_beta 90.00
_cell_angle_gamma 120.00
loop_
_atom_site_label
_atom_site_type_symbol
_atom_site_fract_x
_atom_site_fract_y
_atom_site_fract_z
La1 La 0.0000 0.0000 0.2395
Be1 Be 0.0000 0.0000 0.5000
Hg1 Hg 0.0000 0.0000 0.0000
```

**Magnetic moment**: 0.0 μB per formula unit
**Uncorrected energy**: -3.394 eV/atom
**E_form**: 0.08 eV/atom

---

Entry 11:
## PrNdSO (PBE-GGA)

Data for a relaxed structure of PrNdSO.

```
data_PrNdSO
_symmetry_space_group_name_H-M 'P 4/n m m'
_symmetry_Int_Tables_number 129
_cell_length_a 4.3095
_cell_length_b 4.3095
_cell_length_c 9.3839
_cell_angle_alpha 90.00
_cell_angle_beta 90.00
_cell_angle_gamma 90.00
loop_
_symmetry_equiv_pos_as_xyz
'x,y,z'
'-x,-y,-z'
'-y+1/2,x,z'
'y+1/2,-x,-z'
'-x+1/2,-y+1/2,z'
'x+1/2,y+1/2,-z'
'y,-x+1/2,z'
'-y,x+1/2,-z'
'x+1/2,-y,-z'
'-x+1/2,y,z'
'-y,-x,-z'
'y,x,z'
'-x,y+1/2,-z'
'x,-y+1/2,z'
'y+1/2,x+1/2,-z'
'-y+1/2,-x+1/2,z'
loop_
_atom_site_label
_atom_site_type_symbol
_atom_site_fract_x
_atom_site_fract_y
_atom_site_fract_z
Pr1 Pr 0.2500 0.7500 0.0000
Nd1 Nd 0.2500 0.2500 0.3896
S1 S 0.2500 0.2500 0.7829
O1 O 0.2500 0.7500 0.5000
```

**Magnetic moment**: 0.0 μB per formula unit
**Uncorrected energy**: -6.754 eV/atom

---

Entry 12:
## RbScNbPt (PBE-GGA)

Data for a relaxed structure of RbScNbPt.

```
data_RbScNbPt
_symmetry_space_group_name_H-M 'R 3 m'
_symmetry_Int_Tables_number 160
_symmetry_space_group_name_Hall 'R 3 -2"'
_cell_length_a 4.2374
_cell_length_b 4.2374
_cell_length_c 25.4954
_cell_angle_alpha 90.00
_cell_angle_beta 90.00
_cell_angle_gamma 120.00
loop_
_atom_site_label
_atom_site_type_symbol
_atom_site_fract_x
_atom_site_fract_y
_atom_site_fract_z
Rb1 Rb 0.0000 0.0000 0.0000
Sc1 Sc 0.0000 0.0000 0.5307
Nb1 Nb 0.0000 0.0000 0.7863
Pt1 Pt 0.0000 0.0000 0.1521
```

**Magnetic moment**: 0.3 μB per formula unit
**Uncorrected energy**: -5.733 eV/atom
**E_form**: 0.12 eV/atom

---

What is the formula in the twelfth record? RbScNbPt

---

Repeat the eighth record exactly.
## Nd3Dy3PuTe8 (PBE-GGA)

Data for a relaxed structure of Nd3Dy3PuTe8.

```
data_Nd3Dy3PuTe8
_symmetry_space_group_name_H-M 'R -3 m'
_symmetry_Int_Tables_number 166
_symmetry_space_group_name_Hall '-R 3 2"'
_cell_length_a 8.8117
_cell_length_b 8.8117
_cell_length_c 21.7239
_cell_angle_alpha 90.00
_cell_angle_beta 90.00
_cell_angle_gamma 120.00
loop_
_atom_site_label
_atom_site_type_symbol
_atom_site_fract_x
_atom_site_fract_y
_atom_site_fract_z
Nd1 Nd 0.0000 0.5000 0.0000
Dy1 Dy 0.0000 0.5000 0.5000
Pu1 Pu 0.0000 0.0000 0.5000
Te1 Te 0.0000 0.0000 0.2462
Te2 Te 0.0127 0.5063 0.7507
```

**Magnetic moment**: 6.2 μB per formula unit
**Uncorrected energy**: -5.866 eV/atom

---

Which value of uncorrected energy does entry 10 give? -3.394 eV/atom